Version w
A relaxed CsPbF6 crystal. Source: Alexandria via LeMat-Bulk, functional PBE.

Cell and atoms, written as extended XYZ:
```
8
Lattice="3.550 -3.825 0.000 3.550 3.825 0.000 -1.031 0.000 6.116" Properties=species:S:1:pos:R:3 pbc="T T T"
Cs 0.000 0.000 0.000
Pb 3.034 0.000 3.058
F 2.403 1.413 1.632
F 1.065 0.000 3.864
F 3.665 1.413 4.483
F 2.403 -1.413 1.632
F 5.003 0.000 2.252
F 3.665 -1.413 4.483
```

Fermi-level density of states = 0.670 states/eV per atom
Crystal system = monoclinic

***

Version x
A relaxed CsPbF6 crystal. Source: Alexandria via LeMat-Bulk, functional PBE.

Cell and atoms, written as extended XYZ:
```
8
Lattice="2.874 1.659 5.799 -2.874 1.659 5.799 0.000 -3.318 5.799" Properties=species:S:1:pos:R:3 pbc="T T T"
Cs 0.000 0.000 0.000
Pb 0.000 0.000 8.698
F -1.443 -0.833 7.418
F 0.000 -1.666 9.977
F -1.443 0.833 9.977
F 1.443 -0.833 7.418
F 0.000 1.666 7.418
F 1.443 0.833 9.977
```

Fermi-level density of states = 1.012 states/eV per atom
Crystal system = trigonal

***

How do the energies compare? Relative to the most stable structure, in meV/atom: version w 0; version x 25.

***

Version w
A relaxed CsPbF2 crystal. Source: Alexandria via LeMat-Bulk, functional PBE.

Cell and atoms, written as extended XYZ:
```
4
Lattice="1.980 1.143 8.364 -1.980 1.143 8.364 0.000 -2.286 8.364" Properties=species:S:1:pos:R:3 pbc="T T T"
Cs 0.000 0.000 0.000
Pb 0.000 0.000 12.546
F 0.000 0.000 10.202
F 0.000 0.000 14.889
```

Fermi-level density of states = 0.165 states/eV per atom
Crystal system = trigonal

***

Version x
A relaxed CsPbF2 crystal. Source: Alexandria via LeMat-Bulk, functional PBE.

Cell and atoms, written as extended XYZ:
```
4
Lattice="0.000 3.582 3.582 3.582 0.000 3.582 3.582 3.582 0.000" Properties=species:S:1:pos:R:3 pbc="T T T"
Cs 0.000 0.000 0.000
Pb 3.582 3.582 3.582
F 1.791 1.791 1.791
F 5.373 5.373 5.373
```

Fermi-level density of states = 0.613 states/eV per atom
Crystal system = cubic

***

How do the energies compare? Relative to the most stable structure, in meV/atom: version w 0; version x 476.

***

Version w
A relaxed Cs2PdF4 crystal. Source: Alexandria via LeMat-Bulk, functional PBE.

Cell and atoms, written as extended XYZ:
```
7
Lattice="6.703 0.000 0.000 0.000 6.703 0.000 0.000 0.000 4.006" Properties=species:S:1:pos:R:3 pbc="T T T"
Cs 0.000 3.351 0.000
Cs 3.351 0.000 0.000
Pd 0.000 0.000 2.003
F 1.420 1.420 2.003
F 1.420 5.283 2.003
F 5.283 1.420 2.003
F 5.283 5.283 2.003
```

Fermi-level density of states = 0.000 states/eV per atom
Crystal system = tetragonal

***

Version x
A relaxed Cs2PdF4 crystal. Source: Alexandria via LeMat-Bulk, functional PBE.

Cell and atoms, written as extended XYZ:
```
7
Lattice="-2.248 2.248 7.289 2.248 -2.248 7.289 2.248 2.248 -7.289" Properties=species:S:1:pos:R:3 pbc="T T T"
Cs 0.000 0.000 2.090
Cs 0.000 0.000 12.488
Pd 0.000 0.000 7.289
F 2.248 0.000 0.000
F 0.000 0.000 5.173
F 0.000 2.248 0.000
F 0.000 0.000 9.404
```

Fermi-level density of states = 0.086 states/eV per atom
Crystal system = tetragonal

***

How do the energies compare? Relative to the most stable structure, in meV/atom: version w 0; version x 74.

***

Version w
A relaxed Cs2PdF crystal. Source: Alexandria via LeMat-Bulk, functional PBE.

Cell and atoms, written as extended XYZ:
```
4
Lattice="2.050 1.183 9.639 -2.050 1.183 9.639 0.000 -2.367 9.639" Properties=species:S:1:pos:R:3 pbc="T T T"
Cs 0.000 0.000 3.004
Cs 0.000 0.000 25.912
Pd 0.000 0.000 0.000
F 0.000 0.000 14.458
```

Fermi-level density of states = 0.203 states/eV per atom
Crystal system = trigonal

***

Version x
A relaxed Cs2PdF crystal. Source: Alexandria via LeMat-Bulk, functional PBE.

Cell and atoms, written as extended XYZ:
```
4
Lattice="0.000 3.860 3.860 3.860 0.000 3.860 3.860 3.860 0.000" Properties=species:S:1:pos:R:3 pbc="T T T"
Cs 1.930 1.930 1.930
Cs 5.790 5.790 5.790
Pd 0.000 0.000 0.000
F 3.860 3.860 3.860
```

Fermi-level density of states = 3.682 states/eV per atom
Crystal system = cubic

***

Version y
A relaxed Cs2PdF crystal. Source: Alexandria via LeMat-Bulk, functional PBE.

Cell and atoms, written as extended XYZ:
```
8
Lattice="-4.004 4.004 4.997 4.004 -4.004 4.997 4.004 4.004 -4.997" Properties=species:S:1:pos:R:3 pbc="T T T"
Cs 6.006 1.566 -1.249
Cs 1.566 2.002 1.249
Cs -2.002 2.438 3.748
Cs 2.438 2.002 6.246
Pd 4.004 0.000 2.498
Pd 0.000 0.000 4.997
F 0.000 0.000 0.000
F 0.000 4.004 2.498
```

Fermi-level density of states = 0.258 states/eV per atom
Crystal system = tetragonal

***

How do the energies compare? Relative to the most stable structure, in meV/atom: version w 50; version x 157; version y 0.

***

Version w
A relaxed Cs2SrPdF6 crystal. Source: Alexandria via LeMat-Bulk, functional PBE.

Cell and atoms, written as extended XYZ:
```
10
Lattice="0.000 4.633 4.633 4.633 0.000 4.633 4.633 4.633 0.000" Properties=species:S:1:pos:R:3 pbc="T T T"
Cs 2.317 2.317 2.317
Cs 6.950 6.950 6.950
Sr 0.000 0.000 0.000
Pd 4.633 4.633 4.633
F 4.633 4.633 2.409
F 4.633 2.409 4.633
F 6.857 4.633 4.633
F 2.409 4.633 4.633
F 4.633 6.857 4.633
F 4.633 4.633 6.857
```

Fermi-level density of states = 0.000 states/eV per atom
Crystal system = cubic

***

Version x
A relaxed Cs2SrPdF6 crystal. Source: Alexandria via LeMat-Bulk, functional PBE.

Cell and atoms, written as extended XYZ:
```
10
Lattice="6.580 0.000 0.000 -3.290 5.699 0.000 0.000 0.000 6.288" Properties=species:S:1:pos:R:3 pbc="T T T"
Cs 0.000 3.799 2.300
Cs 3.290 1.900 3.988
Sr 0.000 0.000 0.000
Pd 0.000 0.000 3.144
F 0.000 1.716 4.550
F -1.804 4.840 4.550
F 1.486 0.858 1.738
F 1.804 4.840 4.550
F 5.094 0.858 1.738
F 3.290 3.982 1.738
```

Crystal system = trigonal

***

How do the energies compare? Relative to the most stable structure, in meV/atom: version w 0; version x 58.

***

Version w
A relaxed Cs2ZnPdF6 crystal. Source: Alexandria via LeMat-Bulk, functional PBE.

Cell and atoms, written as extended XYZ:
```
20
Lattice="3.158 1.823 10.378 -3.158 1.823 10.378 0.000 -3.647 10.378" Properties=species:S:1:pos:R:3 pbc="T T T"
Cs 0.000 0.000 3.956
Cs 0.000 0.000 8.934
Cs 0.000 0.000 22.199
Cs 0.000 0.000 27.178
Zn 0.000 0.000 0.000
Zn 0.000 0.000 15.567
Pd 0.000 0.000 12.701
Pd 0.000 0.000 18.432
F -1.394 -0.805 14.250
F 0.000 -1.915 11.554
F -1.659 0.958 11.554
F -1.659 -0.958 19.579
F 0.000 -1.610 16.883
F -1.394 0.805 16.883
F 1.394 -0.805 14.250
F 0.000 1.610 14.250
F 1.659 0.958 11.554
F 1.659 -0.958 19.579
F 0.000 1.915 19.579
F 1.394 0.805 16.883
```

Crystal system = trigonal

***

Version x
A relaxed Cs2ZnPdF6 crystal. Source: Alexandria via LeMat-Bulk, functional PBE.

Cell and atoms, written as extended XYZ:
```
10
Lattice="0.000 4.370 4.370 4.370 0.000 4.370 4.370 4.370 0.000" Properties=species:S:1:pos:R:3 pbc="T T T"
Cs 2.185 2.185 2.185
Cs 6.554 6.554 6.554
Zn 0.000 0.000 0.000
Pd 4.370 4.370 4.370
F 4.370 4.370 2.104
F 4.370 2.104 4.370
F 6.635 4.370 4.370
F 2.104 4.370 4.370
F 4.370 6.635 4.370
F 4.370 4.370 6.635
```

Fermi-level density of states = 0.000 states/eV per atom
Crystal system = cubic

***

How do the energies compare? Relative to the most stable structure, in meV/atom: version w 0; version x 17.

***

Version w
A relaxed Cs2PmF4 crystal. Source: Alexandria via LeMat-Bulk, functional PBE.

Cell and atoms, written as extended XYZ:
```
14
Lattice="7.185 0.000 0.000 0.000 12.391 0.000 0.000 0.000 4.018" Properties=species:S:1:pos:R:3 pbc="T T T"
Cs 0.200 2.175 0.000
Cs 3.393 8.371 0.000
Cs 3.792 4.020 0.000
Cs 6.985 10.215 0.000
Pm 0.000 6.195 2.009
Pm 3.593 0.000 2.009
F 0.967 5.304 0.000
F 1.033 8.232 2.009
F 2.560 2.037 2.009
F 2.626 11.499 0.000
F 4.560 0.891 0.000
F 4.626 10.354 2.009
F 6.152 4.159 2.009
F 6.218 7.086 0.000
```

Fermi-level density of states = 0.169 states/eV per atom
Crystal system = orthorhombic

***

Version x
A relaxed Cs2PmF4 crystal. Source: Alexandria via LeMat-Bulk, functional PBE.

Cell and atoms, written as extended XYZ:
```
7
Lattice="-2.281 2.281 11.360 2.281 -2.281 11.360 2.281 2.281 -11.360" Properties=species:S:1:pos:R:3 pbc="T T T"
Cs 0.000 0.000 3.353
Cs 0.000 0.000 19.367
Pm 0.000 0.000 11.360
F 2.281 0.000 0.000
F 0.000 0.000 9.121
F 0.000 2.281 0.000
F 0.000 0.000 13.600
```

Fermi-level density of states = 0.169 states/eV per atom
Crystal system = tetragonal

***

How do the energies compare? Relative to the most stable structure, in meV/atom: version w 40; version x 0.

***

Version w
A relaxed CsPrF4 crystal. Source: Alexandria via LeMat-Bulk, functional PBE.

Cell and atoms, written as extended XYZ:
```
24
Lattice="6.599 0.000 0.000 0.000 3.865 0.000 0.000 0.000 17.088" Properties=species:S:1:pos:R:3 pbc="T T T"
Cs 1.498 0.966 3.382
Cs 1.802 2.899 11.926
Cs 4.797 0.966 5.162
Cs 5.102 2.899 13.706
Pr 1.636 2.899 7.627
Pr 1.664 0.966 16.172
Pr 4.935 2.899 0.917
Pr 4.964 0.966 9.461
F 0.022 2.899 16.212
F 0.703 0.966 14.058
F 0.767 0.966 6.466
F 0.848 0.966 9.153
F 2.451 2.899 0.609
F 2.533 2.899 15.011
F 2.597 2.899 5.514
F 3.277 0.966 7.668
F 3.322 2.899 9.420
F 4.003 0.966 11.574
F 4.067 0.966 2.078
F 4.148 0.966 16.479
F 5.751 2.899 7.935
F 5.833 2.899 10.622
F 5.896 2.899 3.030
F 6.577 0.966 0.876
```

Fermi-level density of states = 0.000 states/eV per atom
Crystal system = orthorhombic

***

Version x
A relaxed CsPrF4 crystal. Source: Alexandria via LeMat-Bulk, functional PBE.

Cell and atoms, written as extended XYZ:
```
6
Lattice="4.095 0.000 0.000 0.000 4.095 0.000 0.000 0.000 7.068" Properties=species:S:1:pos:R:3 pbc="T T T"
Cs 0.000 0.000 0.000
Pr 2.047 2.047 3.534
F 0.000 2.047 2.210
F 0.000 2.047 4.858
F 2.047 0.000 2.210
F 2.047 0.000 4.858
```

Fermi-level density of states = 0.000 states/eV per atom
Crystal system = tetragonal

***

How do the energies compare? Relative to the most stable structure, in meV/atom: version w 0; version x 10.